DFT (PBE-GGA) results for a relaxed TlGa2PdPb crystal.

Computed properties:
Its total magnetic moment is 0.00 μB/atom. As for the volume: 133.3 Å³/f.u. The value obtained for the density of states at the Fermi level is 0.525 states/eV per atom. The energy of formation comes out at -51 meV per atom.

Cell and atoms, written as extended XYZ:
```
5
Lattice="-0.256 -1.615 -4.570 -3.837 -2.730 1.180 -3.454 4.283 -1.320" Properties=species:S:1:pos:R:3 pbc="T T T"
Tl -3.773 -0.031 -2.355
Pb -1.727 2.142 -0.660
Ga -0.128 -0.808 -2.285
Ga -1.918 -1.365 0.590
Pd 0.000 0.000 0.000
```


DFT (PBE-GGA) results for a relaxed GaPd2PbW crystal.

Computed properties:
Its total magnetic moment is 0.00 μB/atom. As for the volume: 102.2 Å³/f.u. The value obtained for the density of states at the Fermi level is 0.750 states/eV per atom. The energy of formation comes out at 723 meV per atom.

Cell and atoms, written as extended XYZ:
```
5
Lattice="-3.588 2.781 -0.763 -2.139 -3.468 -2.583 -2.037 -1.583 3.812" Properties=species:S:1:pos:R:3 pbc="T T T"
W -1.070 -1.734 -1.292
Ga 0.000 0.000 0.000
Pb -3.882 -1.135 0.233
Pd -1.794 1.390 -0.381
Pd -1.018 -0.791 1.906
```


DFT (PBE-GGA) results for a relaxed Pm6GaPb crystal.

Computed properties:
Its total magnetic moment is 0.00 μB/atom. As for the volume: 235.3 Å³/f.u. The value obtained for the density of states at the Fermi level is 1.472 states/eV per atom. The energy of formation comes out at -287 meV per atom.

Cell and atoms, written as extended XYZ:
```
8
Lattice="4.905 0.000 0.000 0.000 4.905 0.000 0.000 0.000 9.779" Properties=species:S:1:pos:R:3 pbc="T T T"
Pm 0.000 2.453 7.253
Pm 0.000 2.453 2.526
Pm 2.453 2.453 0.000
Pm 2.453 0.000 7.253
Pm 2.453 2.453 4.890
Pm 2.453 0.000 2.526
Pb 0.000 0.000 0.000
Ga 0.000 0.000 4.890
```


DFT (PBE-GGA) results for a relaxed Pm4Ga3Pb crystal.

Computed properties:
Its total magnetic moment is 0.07 μB/atom. As for the volume: 219.3 Å³/f.u. The value obtained for the density of states at the Fermi level is 0.984 states/eV per atom. The energy of formation comes out at -581 meV per atom.

Cell and atoms, written as extended XYZ:
```
8
Lattice="-1.387 4.077 -1.456 -2.847 0.152 3.138 7.684 5.018 6.729" Properties=species:S:1:pos:R:3 pbc="T T T"
Ga 6.305 6.610 5.401
Ga 2.983 2.954 5.428
Ga 3.281 2.143 2.873
Pm 1.124 0.734 0.985
Pm 0.745 3.984 3.347
Pm 5.130 4.356 7.308
Pm 4.203 5.237 3.560
Pb -1.507 2.513 1.375
```


DFT (PBE-GGA) results for a relaxed Pm6Ga2Pb crystal.

Computed properties:
Its total magnetic moment is 0.00 μB/atom. As for the volume: 270.4 Å³/f.u. The value obtained for the density of states at the Fermi level is 0.858 states/eV per atom. The energy of formation comes out at -413 meV per atom.

Cell and atoms, written as extended XYZ:
```
18
Lattice="-4.115 5.794 -5.377 -4.174 -7.865 0.375 0.111 2.738 8.480" Properties=species:S:1:pos:R:3 pbc="T T T"
Pm -6.404 0.133 0.759
Pm -2.963 4.763 -1.055
Pm -1.774 0.535 2.719
Pm -3.758 -2.258 1.359
Pm -4.254 2.845 -3.925
Pm -3.923 -2.177 7.403
Pm -5.214 -4.095 4.533
Pm -6.689 0.116 -3.002
Pm -1.489 0.551 6.479
Pm -4.420 2.925 2.119
Pm -5.076 -0.345 4.315
Pm -3.101 1.012 -0.837
Pb -2.031 -2.563 4.427
Pb 0.000 0.000 0.000
Ga -4.627 -1.644 -1.450
Ga -3.551 2.312 4.928
Ga -1.441 3.070 1.116
Ga -2.563 5.463 1.987
```


DFT (PBE-GGA) results for a relaxed PmGaPb crystal.

Computed properties:
Its total magnetic moment is 0.00 μB/atom. The calculation puts the distance to the lowest polymorph of the same formula at 63 meV/atom. As for the volume: 81.4 Å³/f.u. The value obtained for the density of states at the Fermi level is 0.559 states/eV per atom. The energy of formation comes out at -401 meV per atom.

Cell and atoms, written as extended XYZ:
```
6
Lattice="4.291 0.000 0.000 0.000 4.626 0.000 0.000 -2.313 8.198" Properties=species:S:1:pos:R:3 pbc="T T T"
Pb 1.073 2.313 3.840
Pb 3.218 0.000 4.358
Pm 3.218 2.313 6.737
Pm 1.073 0.000 1.460
Ga 1.073 0.000 7.406
Ga 3.218 2.313 0.791
```